SrLa2Pr: relaxed, PBE.

```
SrLa2Pr
1.0
3.825 0.000 0.000
1.912 3.312 0.000
1.912 1.104 12.721
Pr La Sr
1 2 1
Cartesian
3.825 2.208 0.007
1.912 1.104 9.760
1.912 1.104 2.962
3.825 2.208 6.354
```

Output
The value obtained for the density of states at the Fermi level is 6.214 states/eV/f.u. As for the energy above the most stable polymorph in this dataset: 6 meV per atom. The calculation puts the formation energy from the elements at 0.08 eV/atom. The calculation puts the total magnetization at 0.00 μB per atom. As for the crystal system: trigonal. Its calculated density is 5.217 g/cm³.